Entry 1:
Density functional theory data (GGA-PBE) for crystalline Zr2TaRu at its relaxed geometry.

```
Zr2TaRu
1.0
-1.6330 2.4127 4.7703
1.6330 -2.4127 4.7703
1.6330 2.4127 -4.7703
Zr Ta Ru
2 1 1
direct
0.2347 0.2347 0.0000 Zr
0.7653 0.7653 0.0000 Zr
0.5000 0.0000 0.5000 Ta
0.0000 0.5000 0.5000 Ru
```

The calculation puts the volume at 75.18 Å³/cell. For the density of states at the Fermi level, the calculation gives 4.1 states/eV per cell. As for the distance to the lowest polymorph of the same formula: 0.320 eV per formula unit. Its formation energy is -166 meV/atom.


Entry 2:
Density functional theory data (GGA-PBE) for crystalline Cs2KPd3F12 at its relaxed geometry.

```
Cs2KPd3F12
1.0
3.9866 2.3017 6.1607
-3.9866 2.3017 6.1607
0.0000 -4.6034 6.1607
Cs K Pd F
2 1 3 12
direct
0.1160 0.1160 0.1160 Cs
0.8840 0.8840 0.8840 Cs
0.5000 0.5000 0.5000 K
0.0000 0.5000 0.5000 Pd
0.5000 0.0000 0.5000 Pd
0.5000 0.5000 0.0000 Pd
0.0766 0.6202 0.6202 F
0.2221 0.2221 0.5941 F
0.2221 0.5941 0.2221 F
0.3798 0.3798 0.9234 F
0.3798 0.9234 0.3798 F
0.4059 0.7779 0.7779 F
0.5941 0.2221 0.2221 F
0.6202 0.0766 0.6202 F
0.6202 0.6202 0.0766 F
0.7779 0.4059 0.7779 F
0.7779 0.7779 0.4059 F
0.9234 0.3798 0.3798 F
```

The calculation puts the volume at 339.19 Å³/cell. For the formation energy without anion corrections, the calculation gives -1884 meV/atom. For the density of states at the Fermi level, the calculation gives 3.8 states/eV per cell.


Entry 3:
Density functional theory data (GGA-PBE) for crystalline TbTeO4 at its relaxed geometry.

```
TbTeO4
1.0
5.5075 0.0000 0.0000
0.0000 5.2180 0.0000
0.0000 0.0000 5.8617
Tb Te O
2 2 8
direct
0.0000 0.0000 0.0000 Tb
0.0000 0.5000 0.5000 Tb
0.5000 0.0000 0.3593 Te
0.5000 0.5000 0.8593 Te
0.1904 0.1928 0.3105 O
0.1904 0.3072 0.8105 O
0.3450 0.7411 0.6143 O
0.3450 0.7589 0.1143 O
0.6550 0.2411 0.1143 O
0.6550 0.2589 0.6143 O
0.8096 0.6928 0.8105 O
0.8096 0.8072 0.3105 O
```

The calculation puts the volume at 168.45 Å³/cell. For the formation energy without anion corrections, the calculation gives -2011 meV/atom. For the density of states at the Fermi level, the calculation gives 3.6 states/eV per cell. As for the distance to the lowest polymorph of the same formula: 0.000 eV per formula unit.


Entry 4:
Density functional theory data (GGA-PBE) for crystalline BaCuNi at its relaxed geometry.

```
BaCuNi
1.0
4.2376 0.0000 0.0000
-2.1188 3.6699 0.0000
0.0000 0.0000 4.5941
Ba Cu Ni
1 1 1
direct
0.0000 0.0000 0.0000 Ba
0.6667 0.3333 0.5000 Cu
0.3333 0.6667 0.5000 Ni
```

The calculation puts the volume at 71.45 Å³/cell. For the density of states at the Fermi level, the calculation gives 1.8 states/eV per cell. As for the distance to the lowest polymorph of the same formula: 0.165 eV per formula unit. Its formation energy is 69 meV/atom.


| no. | spin magnetization (μB/cell) |
| --- | --- |
| 1 | 0.00 |
| 2 | 0.00 |
| 3 | 0.00 |
| 4 | 0.00 |